(1)
Here is a crystal of FeNiGe2H relaxed with PBEsol from Alexandria via LeMat-Bulk. Energies are from SCAN.

```
FeNiGe2H
1.0
-1.2482 -2.3308 3.4206
3.8576 -1.9502 0.0789
1.5878 3.2540 2.7967
Ni Ge Fe H
1 2 1 1
Cartesian
0.0000 0.0000 0.0000
1.9288 -0.9751 0.0395
-0.6241 -1.1654 1.7103
0.7939 1.6270 1.3983
2.0986 -0.5135 3.1481
```

crystal system	tetragonal
electronic total energy	-14.417	eV per atom
space-group type	P4/mmm, No. 123

(2)
Here is a crystal of BeAg2As relaxed with PBEsol from Alexandria via LeMat-Bulk. Energies are from SCAN.

```
BeAg2As
1.0
3.8959 0.0000 0.0000
0.0000 3.8959 0.0000
0.0000 0.0000 4.0287
Be As Ag
1 1 2
Cartesian
0.0000 0.0000 2.0144
1.9479 1.9479 2.0144
0.0000 1.9479 0.0000
1.9479 0.0000 0.0000
```

crystal system	tetragonal
electronic total energy	-21.572	eV per atom
space-group type	P4/mmm, No. 123

(3)
Here is a crystal of YZn2Ru relaxed with PBEsol from Alexandria via LeMat-Bulk. Energies are from SCAN.

```
YZn2Ru
1.0
-1.8033 3.3091 -1.3589
-1.9383 0.3777 3.4918
4.9125 0.4076 0.3786
Y Ru Zn
1 1 2
Cartesian
-0.9016 1.6546 -0.6795
-0.9692 0.1888 1.7459
-0.3509 2.9682 1.7885
1.5218 1.1262 0.7230
```

crystal system	tetragonal
electronic total energy	-22.751	eV per atom
space-group type	I4/mmm, No. 139

(4)
Here is a crystal of NiW2Au relaxed with PBEsol from Alexandria via LeMat-Bulk. Energies are from SCAN.

```
NiW2Au
1.0
-1.0251 2.2340 -1.0723
-3.2731 -0.3887 2.3192
2.3764 2.9365 3.8459
Au Ni W
1 1 2
Cartesian
-2.1491 0.9227 0.6234
-0.9609 2.3909 2.5464
1.7389 2.1487 2.8142
0.6375 0.7877 1.0317
```

crystal system	orthorhombic
electronic total energy	-55.887	eV per atom
space-group type	Pmmm, No. 47

(5)
Here is a crystal of TaAl4Se relaxed with PBEsol from Alexandria via LeMat-Bulk. Energies are from SCAN.

```
TaAl4Se
1.0
5.1761 0.0000 0.0000
2.5880 4.4826 0.0000
2.5880 1.4942 4.2263
Al Se Ta
4 1 1
Cartesian
3.8714 2.2352 1.5805
5.1761 2.9884 3.7110
6.4807 2.2352 1.5805
5.1761 4.4949 1.5805
7.7641 4.4826 3.1697
0.0000 0.0000 0.0000
```

crystal system	cubic
formation energy from raw total energies	84	meV/atom
space-group type	F-43m, No. 216

(6)
Here is a crystal of Zr6Ni20P13 relaxed with PBEsol from Alexandria via LeMat-Bulk. Energies are from SCAN.

```
Zr6Ni20P13
1.0
-2.8269 0.4944 -2.1696
-4.8342 -10.6742 3.8666
-2.6975 10.4931 5.9058
Ni P Zr
20 13 6
Cartesian
-2.3417 -0.9851 2.8267
-6.1828 -2.8352 7.4100
-3.8415 -7.0352 3.4022
-7.2904 -6.0636 5.1347
-3.4510 -4.0803 0.5840
-5.8649 0.0300 4.6659
-1.4605 2.5961 2.4945
-3.6200 6.7348 6.2514
-5.1488 0.9811 6.9323
-3.3687 1.0658 1.6494
-3.8862 7.4492 3.7783
-7.2147 2.5385 6.9962
-4.5406 -2.5293 2.3571
-6.3412 -2.5211 4.7051
-5.7246 -5.0635 3.3224
-5.3678 -4.6339 5.9382
-3.1344 -4.7086 3.0111
-3.8638 -1.5129 4.6897
-4.8232 3.6845 4.1413
0.0000 0.0000 0.0000
-1.1998 0.5351 1.6853
-2.5776 8.4521 5.2845
-6.4518 1.3247 8.7085
-3.6255 3.1524 2.4595
-4.9440 5.7205 4.7626
-5.9001 2.1806 5.2017
-2.1113 -3.0115 2.0647
-5.1490 -1.1831 6.4394
-5.1057 -6.6608 5.1348
-7.5414 -3.9692 5.9390
-4.5150 -5.8059 1.5772
-4.5499 -0.3387 2.8684
-4.1220 -3.6185 4.5463
-3.2728 1.3999 4.5834
-2.3376 4.9648 4.1772
-4.6187 3.9472 6.9176
-6.3832 -8.3914 3.4222
-2.4851 -1.2772 -0.0358
-7.7381 -0.4453 6.9983
```

crystal system	hexagonal
electronic total energy	-17.423	eV per atom
space-group type	P-6, No. 174

(7)
Here is a crystal of TlFeAsSe2 relaxed with PBEsol from Alexandria via LeMat-Bulk. Energies are from SCAN.

```
TlFeAsSe2
1.0
-4.0445 -1.6773 0.8566
1.7044 -4.5465 -0.8554
1.1945 -0.4482 4.7624
Tl As Se Fe
1 1 2 1
Cartesian
-0.5728 -3.3361 2.3818
-2.0223 -0.8387 0.4283
0.5972 -0.2241 2.3812
0.8522 -2.2733 -0.4277
0.0000 0.0000 0.0000
```

crystal system	tetragonal
formation energy from raw total energies	158	meV/atom
space-group type	P4/mmm, No. 123

(8)
Here is a crystal of CsHg3Pt relaxed with PBEsol from Alexandria via LeMat-Bulk. Energies are from SCAN.

```
CsHg3Pt
1.0
-5.3910 2.7353 2.7774
0.5988 -4.1026 5.2028
3.8520 4.4660 3.0783
Cs Hg Pt
1 3 1
Cartesian
0.0000 0.0000 0.0000
0.2994 -2.0513 2.6014
1.9260 2.2330 1.5392
-2.6955 1.3677 1.3887
-0.4701 1.5494 5.5292
```

crystal system	cubic
electronic total energy	-61.520	eV per atom
space-group type	Pm-3m, No. 221